Entry 1:
Zr4SnSbN2 | GGA-PBE | relaxed

a b c (Å): 3.3947 3.3947 14.0356
angles (deg): 90.00 90.00 120.00
Positions (direct):
Sn  0.6667  0.3333  0.5000
Zr  0.6667  0.3333  0.1592
Zr  0.0000  0.0000  0.6687
Zr  0.0000  0.0000  0.3313
Zr  0.6667  0.3333  0.8408
N  0.3333  0.6667  0.2461
N  0.3333  0.6667  0.7539
Sb  0.0000  0.0000  0.0000



Entry 2:
Ta4SbN3 | GGA-PBE | relaxed

a b c (Å): 3.2372 3.2372 23.1637
angles (deg): 90.00 90.00 120.00
Positions (direct):
Ta  0.3333  0.6667  0.4445
Ta  0.0000  0.0000  0.8474
Ta  0.3333  0.6667  0.0555
Ta  0.6667  0.3333  0.9445
Ta  0.0000  0.0000  0.1526
Ta  0.0000  0.0000  0.6526
Ta  0.0000  0.0000  0.3474
Ta  0.6667  0.3333  0.5555
N  0.0000  0.0000  0.0000
N  0.3333  0.6667  0.8935
N  0.6667  0.3333  0.3935
N  0.0000  0.0000  0.5000
N  0.6667  0.3333  0.1065
N  0.3333  0.6667  0.6065
Sb  0.6667  0.3333  0.7500
Sb  0.3333  0.6667  0.2500



Entry 3:
Ta2SbN | GGA-PBE | relaxed

a b c (Å): 3.3440 3.3440 12.9576
angles (deg): 90.00 90.00 120.00
Positions (direct):
Sb  0.6667  0.3333  0.2500
Sb  0.3333  0.6667  0.7500
Ta  0.3333  0.6667  0.0822
Ta  0.3333  0.6667  0.4178
Ta  0.6667  0.3333  0.5821
Ta  0.6667  0.3333  0.9178
N  0.0000  0.0000  0.0000
N  0.0000  0.0000  0.5000



Entry 4:
Ta2SbN | GGA-PBE | relaxed

a b c (Å): 5.8065 5.8065 13.3546
angles (deg): 102.53 102.53 60.03
Positions (direct):
Ta  0.5274  0.3628  0.0822
Ta  0.8035  0.9752  0.9181
Ta  0.1965  0.0248  0.0819
Ta  0.3063  0.1414  0.4183
Ta  0.4726  0.6372  0.9178
Ta  0.0248  0.1965  0.5819
Ta  0.3628  0.5274  0.5822
Ta  0.9752  0.8035  0.4181
Ta  0.1414  0.3063  0.9183
Ta  0.6937  0.8586  0.5817
Ta  0.8586  0.6937  0.0817
Ta  0.6372  0.4726  0.4178
Sb  0.0828  0.9172  0.7500
Sb  0.5839  0.7497  0.2500
Sb  0.9172  0.0828  0.2500
Sb  0.7497  0.5839  0.7500
Sb  0.4161  0.2503  0.7500
Sb  0.2503  0.4161  0.2500
N  0.6684  0.1640  0.4999
N  0.5000  0.0000  0.0000
N  0.8360  0.3316  0.0001
N  0.0000  0.5000  0.5000
N  0.3316  0.8360  0.5001
N  0.1640  0.6684  0.9999



| no. | final energy (eV per atom) |
| --- | --- |
| 1 | -8.46 |
| 2 | -10.11 |
| 3 | -9.36 |
| 4 | -9.36 |